KAlSe2 | PBE-GGA | relaxed

Unit cell a=3.9729 b=3.9185 c=7.5975 alpha=75.06 beta=90.00 gamma=90.00
With the nearest neighbours (Å) after each atom.
Fractional coordinates of all 4 atoms:
K: 0.5000 0.6695 0.7860  6 Se 3.26-3.35
Al: 0.0000 0.4413 0.2428  4 Se 2.42-2.46
Se: 0.0000 0.0429 0.0394  2 Al 2.46
Se: 0.5000 0.3464 0.4318  2 Al 2.42

Space-group type ... Amm2
Density ... 3.25 Mg/m³
E_form (uncorrected) ... -1045 meV/atom